Record 1
A relaxed structure of Dy4Ho3Er3, computed with PBE.

Cell: 3.6842 9.2031 9.2031 Å, 89.98 90.00 90.00°
Element x y z (fractional)
Dy: 0.0000 0.0000 0.0000
Dy: 0.0000 0.2555 0.2555
Dy: 0.0000 0.5005 0.7556
Dy: 0.0000 0.7556 0.5005
Ho: 0.5000 0.2987 0.9566
Ho: 0.5000 0.4568 0.4568
Ho: 0.5000 0.9566 0.2987
Er: 0.0000 0.1271 0.6281
Er: 0.0000 0.6281 0.1271
Er: 0.5000 0.7988 0.7988

ΔE_f in eV/f.u.: 1.0
Magnetic moment in μB/f.u.: 0.0

=====

Record 2
A relaxed structure of Dy8Ho2Er, computed with PBE.

Cell: 10.0113 10.0113 5.5413 Å, 92.82 92.82 40.30°
Element x y z (fractional)
Dy: 0.0463 0.0463 0.2352
Dy: 0.1028 0.6343 0.2676
Dy: 0.3130 0.3130 0.7682
Dy: 0.3657 0.8972 0.7324
Dy: 0.6343 0.1028 0.2676
Dy: 0.6870 0.6870 0.2318
Dy: 0.8972 0.3657 0.7324
Dy: 0.9537 0.9537 0.7648
Ho: 0.2160 0.2160 0.2524
Ho: 0.7840 0.7840 0.7476
Er: 0.5000 0.5000 0.0000

ΔE_f in eV/f.u.: 1.8
Magnetic moment in μB/f.u.: 0.0

=====

Record 3
A relaxed structure of DyHo5Er5, computed with PBE.

Cell: 6.7593 6.8829 8.2121 Å, 76.21 76.82 72.59°
Element x y z (fractional)
Dy: 0.0000 0.0000 0.0000
Ho: 0.0000 0.5000 0.0000
Ho: 0.1573 0.6309 0.3585
Ho: 0.3264 0.7666 0.6539
Ho: 0.6736 0.2334 0.3461
Ho: 0.8427 0.3691 0.6415
Er: 0.2083 0.1382 0.3141
Er: 0.3521 0.2479 0.7203
Er: 0.5000 0.5000 0.0000
Er: 0.6479 0.7521 0.2797
Er: 0.7917 0.8618 0.6859

ΔE_f in eV/f.u.: 1.6
Magnetic moment in μB/f.u.: 0.0

=====

Record 4
A relaxed structure of DyHo6Er2, computed with PBE.

Cell: 8.7793 8.7793 8.9330 Å, 115.83 115.83 82.47°
Element x y z (fractional)
Dy: 0.0841 0.9159 0.7500
Dy: 0.9159 0.0841 0.2500
Ho: 0.1163 0.2988 0.1331
Ho: 0.1969 0.4970 0.5935
Ho: 0.2988 0.1163 0.6331
Ho: 0.3072 0.5295 0.0136
Ho: 0.4705 0.6928 0.4864
Ho: 0.4970 0.1969 0.0935
Ho: 0.5030 0.8031 0.9065
Ho: 0.5295 0.3072 0.5136
Ho: 0.6928 0.4705 0.9864
Ho: 0.7012 0.8837 0.3669
Ho: 0.8031 0.5030 0.4065
Ho: 0.8837 0.7012 0.8669
Er: 0.0627 0.7193 0.3048
Er: 0.2807 0.9373 0.1952
Er: 0.7193 0.0627 0.8048
Er: 0.9373 0.2807 0.6952

ΔE_f in eV/f.u.: 0.7
Magnetic moment in μB/f.u.: 0.0

=====

Record 5
A relaxed structure of DyHo3Er3, computed with PBE.

Cell: 14.4476 14.4476 14.4476 Å, 24.36 24.36 24.36°
Element x y z (fractional)
Dy: 0.1667 0.1667 0.1667
Dy: 0.8333 0.8333 0.8333
Ho: 0.0359 0.6986 0.3671
Ho: 0.3014 0.6329 0.9641
Ho: 0.3671 0.0359 0.6986
Ho: 0.6329 0.9641 0.3014
Ho: 0.6986 0.3671 0.0359
Ho: 0.9641 0.3014 0.6329
Er: 0.0995 0.4335 0.7674
Er: 0.2326 0.9005 0.5665
Er: 0.4335 0.7674 0.0995
Er: 0.5665 0.2326 0.9005
Er: 0.7674 0.0995 0.4335
Er: 0.9005 0.5665 0.2326

ΔE_f in eV/f.u.: 1.0
Magnetic moment in μB/f.u.: 0.0

=====

Record 6
A relaxed structure of Dy6Ho16Er7, computed with PBE.

Cell: 10.9961 10.9961 10.9961 Å, 60.00 60.00 60.00°
Element x y z (fractional)
Dy: 0.2203 0.2203 0.7797
Dy: 0.2203 0.7797 0.2203
Dy: 0.2203 0.7797 0.7797
Dy: 0.7797 0.2203 0.2203
Dy: 0.7797 0.2203 0.7797
Dy: 0.7797 0.7797 0.2203
Ho: 0.1325 0.6225 0.6225
Ho: 0.1521 0.1521 0.1521
Ho: 0.1521 0.1521 0.5438
Ho: 0.1521 0.5438 0.1521
Ho: 0.3775 0.3775 0.3775
Ho: 0.3775 0.3775 0.8675
Ho: 0.3775 0.8675 0.3775
Ho: 0.4562 0.8479 0.8479
Ho: 0.5438 0.1521 0.1521
Ho: 0.6225 0.1325 0.6225
Ho: 0.6225 0.6225 0.1325
Ho: 0.6225 0.6225 0.6225
Ho: 0.8479 0.4562 0.8479
Ho: 0.8479 0.8479 0.4562
Ho: 0.8479 0.8479 0.8479
Ho: 0.8675 0.3775 0.3775
Er: 0.0000 0.0000 0.5000
Er: 0.0000 0.5000 0.0000
Er: 0.0000 0.5000 0.5000
Er: 0.5000 0.0000 0.0000
Er: 0.5000 0.0000 0.5000
Er: 0.5000 0.5000 0.0000
Er: 0.5000 0.5000 0.5000

ΔE_f in eV/f.u.: 7.1
Magnetic moment in μB/f.u.: 0.2

=====

Record 7
A relaxed structure of Dy8Ho4Er, computed with PBE.

Cell: 10.0267 10.0267 10.0267 Å, 42.13 42.13 42.13°
Element x y z (fractional)
Dy: 0.1997 0.7506 0.7506
Dy: 0.2148 0.2148 0.2148
Dy: 0.2494 0.2494 0.8003
Dy: 0.2494 0.8003 0.2494
Dy: 0.7506 0.1997 0.7506
Dy: 0.7506 0.7506 0.1997
Dy: 0.7852 0.7852 0.7852
Dy: 0.8003 0.2494 0.2494
Ho: 0.0000 0.0000 0.0000
Ho: 0.0000 0.5000 0.5000
Ho: 0.5000 0.0000 0.5000
Ho: 0.5000 0.5000 0.0000
Er: 0.5000 0.5000 0.5000

ΔE_f in eV/f.u.: 2.9
Magnetic moment in μB/f.u.: 0.0

=====

Record 8
A relaxed structure of Dy7Ho5Er, computed with PBE.

Cell: 8.6282 8.6282 8.6282 Å, 134.91 99.97 96.94°
Element x y z (fractional)
Dy: 0.0000 0.0000 0.0000
Dy: 0.0798 0.7513 0.3285
Dy: 0.3075 0.3075 0.0000
Dy: 0.4227 0.7513 0.6715
Dy: 0.5014 0.0014 0.5000
Dy: 0.5812 0.2519 0.3292
Dy: 0.9227 0.2519 0.6708
Ho: 0.0019 0.5019 0.5000
Ho: 0.2744 0.2692 0.5401
Ho: 0.2744 0.7343 0.0052
Ho: 0.7291 0.2692 0.9948
Ho: 0.7291 0.7343 0.4599
Er: 0.6929 0.6929 0.0000

ΔE_f in eV/f.u.: 3.4
Magnetic moment in μB/f.u.: 0.0

=====

Question: ΔE_f of number 8 (Dy7Ho5Er)?
Answer: 3.4 eV/f.u.

=====

Question: What is the ΔE_f in the eighth record?
Answer: 3.4 eV/f.u.

=====

Question: Among the records above, which one has the highest ΔE_f?
Answer: Dy6Ho16Er7

=====

Question: Look up the ΔE_f of the second one.
Answer: 1.8 eV/f.u.